{"formula": "Ce2NdGa2Pt2", "functional": "GGA-PBE", "state": "optimized geometry", "cell": [[-2.799, 2.059, 2.852], [-4.017, 1.424, -1.428], [-5.749, -6.514, 2.603]], "species": ["Ce", "Ce", "Nd", "Ga", "Ga", "Pt", "Pt"], "frac_coords": [[0.140, 0.140, 0.581], [0.860, 0.860, 0.419], [0.000, 0.000, 0.000], [0.737, 0.737, 0.788], [0.263, 0.263, 0.212], [0.579, 0.579, 0.264], [0.421, 0.421, 0.736]], "magmom_total_mub_per_fu": 0.0, "volume_a3_per_atom": 21.725, "sg": "R-3m, No. 166", "crystal_system": "trigonal", "delta_e_f_kj_per_mol_atoms": -81}